Entry 1:
Compound: Ni2W
Source: OQMD
Functional: GGA-PBE
Structure: optimized geometry

Space group: P6_3/mmc

abc: 4.6869 4.6869 7.6881
angles: 90.00 90.00 120.00
Closest atoms and distances in Å follow each position.
Element x y z (fractional)
Ni  0.0000  0.0000  0.0000  6 Ni 2.36
Ni  0.0000  0.0000  0.5000  6 Ni 2.36
Ni  0.1694  0.3387  0.2500  6 Ni 2.31-2.38
Ni  0.1694  0.8306  0.2500  6 Ni 2.31-2.38
Ni  0.3387  0.1694  0.7500  6 Ni 2.31-2.38
Ni  0.6613  0.8306  0.2500  6 Ni 2.31-2.38
Ni  0.8306  0.1694  0.7500  6 Ni 2.31-2.38
Ni  0.8306  0.6613  0.7500  6 Ni 2.31-2.38
W  0.3333  0.6667  0.5591  12 Ni 2.72-2.77, 4 W 2.85-2.93
W  0.3333  0.6667  0.9409  12 Ni 2.72-2.77, 4 W 2.85-2.93
W  0.6667  0.3333  0.0591  12 Ni 2.72-2.77, 4 W 2.85-2.93
W  0.6667  0.3333  0.4409  12 Ni 2.72-2.77, 4 W 2.85-2.93

Entry 2:
Compound: Ni2W11
Source: OQMD
Functional: GGA-PBE
Structure: optimized geometry

Space group: R-3m
Relative energy among the computed polymorphs (eV per atom): 0.0000

abc: 9.5020 9.5020 9.5020
angles: 31.62 31.62 31.62
Closest atoms and distances in Å follow each position.
Element x y z (fractional)
Ni  0.0476  0.0476  0.0476  1 Ni 2.57, 7 W 2.79-2.82
Ni  0.9524  0.9524  0.9524  1 Ni 2.57, 7 W 2.79-2.82
W  0.0838  0.5874  0.5874  7 W 2.57-2.79, 2 Ni 2.79
W  0.1517  0.1517  0.1517  1 Ni 2.82, 15 W 2.98-3.14
W  0.3327  0.3327  0.3327  9 W 2.75-2.99
W  0.4126  0.4126  0.9162  7 W 2.57-2.79, 2 Ni 2.79
W  0.4126  0.9162  0.4126  7 W 2.57-2.79, 2 Ni 2.79
W  0.5000  0.5000  0.5000  6 W 2.65
W  0.5874  0.0838  0.5874  7 W 2.57-2.79, 2 Ni 2.79
W  0.5874  0.5874  0.0838  7 W 2.57-2.79, 2 Ni 2.79
W  0.6673  0.6673  0.6673  9 W 2.75-2.99
W  0.8483  0.8483  0.8483  1 Ni 2.82, 15 W 2.98-3.14
W  0.9162  0.4126  0.4126  7 W 2.57-2.79, 2 Ni 2.79

Entry 3:
Compound: Ni4W25
Source: OQMD
Functional: GGA-PBE
Structure: optimized geometry

Space group: I-43m

abc: 8.4861 8.4861 8.4861
angles: 109.47 109.47 109.47
Closest atoms and distances in Å follow each position.
Element x y z (fractional)
Ni  0.0000  0.0000  0.6617  10 W 2.79-2.92
Ni  0.0000  0.6617  0.0000  10 W 2.79-2.92
Ni  0.3383  0.3383  0.3383  10 W 2.79-2.92
Ni  0.6617  0.0000  0.0000  10 W 2.79-2.92
W  0.0000  0.0000  0.0000  4 Ni 2.87, 12 W 3.10
W  0.0000  0.1949  0.3810  8 W 2.58-2.82
W  0.0000  0.3810  0.1949  8 W 2.58-2.82
W  0.0000  0.4097  0.6889  7 W 2.64-2.90, 1 Ni 2.79
W  0.0000  0.6889  0.4097  7 W 2.64-2.90, 1 Ni 2.79
W  0.1861  0.8051  0.8051  8 W 2.58-2.82
W  0.1949  0.0000  0.3810  8 W 2.58-2.82
W  0.1949  0.3810  0.0000  8 W 2.58-2.82
W  0.2793  0.5903  0.5903  7 W 2.64-2.90, 1 Ni 2.79
W  0.3111  0.3111  0.7207  7 W 2.64-2.90, 1 Ni 2.79
W  0.3111  0.7207  0.3111  7 W 2.64-2.90, 1 Ni 2.79
W  0.3810  0.0000  0.1949  8 W 2.58-2.82
W  0.3810  0.1949  0.0000  8 W 2.58-2.82
W  0.4097  0.0000  0.6889  7 W 2.64-2.90, 1 Ni 2.79
W  0.4097  0.6889  0.0000  7 W 2.64-2.90, 1 Ni 2.79
W  0.5903  0.2793  0.5903  7 W 2.64-2.90, 1 Ni 2.79
W  0.5903  0.5903  0.2793  7 W 2.64-2.90, 1 Ni 2.79
W  0.6190  0.6190  0.8139  8 W 2.58-2.82
W  0.6190  0.8139  0.6190  8 W 2.58-2.82
W  0.6889  0.0000  0.4097  7 W 2.64-2.90, 1 Ni 2.79
W  0.6889  0.4097  0.0000  7 W 2.64-2.90, 1 Ni 2.79
W  0.7207  0.3111  0.3111  7 W 2.64-2.90, 1 Ni 2.79
W  0.8051  0.1861  0.8051  8 W 2.58-2.82
W  0.8051  0.8051  0.1861  8 W 2.58-2.82
W  0.8139  0.6190  0.6190  8 W 2.58-2.82

Entry 4:
Compound: Ni2W11
Source: OQMD
Functional: GGA-PBE
Structure: optimized geometry

Space group: R-3m
Relative energy among the computed polymorphs (eV per atom): 0.1440

abc: 9.7016 9.7016 9.7016
angles: 30.93 30.93 30.93
Closest atoms and distances in Å follow each position.
Element x y z (fractional)
Ni  0.1530  0.1530  0.1530  13 W 2.92-3.13, 3 Ni 3.08
Ni  0.8470  0.8470  0.8470  13 W 2.92-3.13, 3 Ni 3.08
W  0.0453  0.0453  0.0453  1 W 2.51
W  0.0868  0.5909  0.5909  8 W 2.57-2.86
W  0.3318  0.3318  0.3318  9 W 2.85-2.99
W  0.4091  0.4091  0.9132  8 W 2.57-2.86
W  0.4091  0.9132  0.4091  8 W 2.57-2.86
W  0.5000  0.5000  0.5000  6 W 2.61
W  0.5909  0.0868  0.5909  8 W 2.57-2.86
W  0.5909  0.5909  0.0868  8 W 2.57-2.86
W  0.6682  0.6682  0.6682  9 W 2.85-2.99
W  0.9132  0.4091  0.4091  8 W 2.57-2.86
W  0.9547  0.9547  0.9547  1 W 2.51

Entry 5:
Compound: Ni2W
Source: OQMD
Functional: GGA-PBE
Structure: optimized geometry

Space group: P4_2/mnm

abc: 8.9545 8.9545 4.6893
angles: 90.00 90.00 90.00
Closest atoms and distances in Å follow each position.
Element x y z (fractional)
Ni  0.0683  0.2594  0.0000  5 W 2.40-2.60, 5 Ni 2.42-2.61
Ni  0.0942  0.0942  0.5000  1 Ni 2.39, 4 W 2.44-2.63
Ni  0.1779  0.8221  0.2517  4 Ni 2.33-2.60, 1 W 2.54
Ni  0.1779  0.8221  0.7483  4 Ni 2.33-2.60, 1 W 2.54
Ni  0.2406  0.5683  0.5000  5 W 2.40-2.60, 5 Ni 2.42-2.61
Ni  0.2594  0.0683  0.0000  5 W 2.40-2.60, 5 Ni 2.42-2.61
Ni  0.3221  0.3221  0.2483  4 Ni 2.33-2.60, 1 W 2.54
Ni  0.3221  0.3221  0.7517  4 Ni 2.33-2.60, 1 W 2.54
Ni  0.4058  0.5942  0.0000  1 Ni 2.39, 4 W 2.44-2.63
Ni  0.4317  0.7594  0.5000  5 W 2.40-2.60, 5 Ni 2.42-2.61
Ni  0.5683  0.2406  0.5000  5 W 2.40-2.60, 5 Ni 2.42-2.61
Ni  0.5942  0.4058  0.0000  1 Ni 2.39, 4 W 2.44-2.63
Ni  0.6779  0.6779  0.2483  4 Ni 2.33-2.60, 1 W 2.54
Ni  0.6779  0.6779  0.7517  4 Ni 2.33-2.60, 1 W 2.54
Ni  0.7406  0.9317  0.0000  5 W 2.40-2.60, 5 Ni 2.42-2.61
Ni  0.7594  0.4317  0.5000  5 W 2.40-2.60, 5 Ni 2.42-2.61
Ni  0.8221  0.1779  0.2517  4 Ni 2.33-2.60, 1 W 2.54
Ni  0.8221  0.1779  0.7483  4 Ni 2.33-2.60, 1 W 2.54
Ni  0.9058  0.9058  0.5000  1 Ni 2.39, 4 W 2.44-2.63
Ni  0.9317  0.7406  0.0000  5 W 2.40-2.60, 5 Ni 2.42-2.61
W  0.0000  0.0000  0.0000  12 Ni 2.40-2.63
W  0.0409  0.3612  0.5000  5 Ni 2.44-2.60, 1 W 2.59
W  0.1388  0.5409  0.0000  5 Ni 2.44-2.60, 1 W 2.59
W  0.3612  0.0409  0.5000  5 Ni 2.44-2.60, 1 W 2.59
W  0.4591  0.8612  0.0000  5 Ni 2.44-2.60, 1 W 2.59
W  0.5000  0.5000  0.5000  12 Ni 2.40-2.63
W  0.5409  0.1388  0.0000  5 Ni 2.44-2.60, 1 W 2.59
W  0.6388  0.9591  0.5000  5 Ni 2.44-2.60, 1 W 2.59
W  0.8612  0.4591  0.0000  5 Ni 2.44-2.60, 1 W 2.59
W  0.9591  0.6388  0.5000  5 Ni 2.44-2.60, 1 W 2.59

Entry 6:
Compound: Ni13W2
Source: OQMD
Functional: GGA-PBE
Structure: optimized geometry

Space group: P4_2/mnm

abc: 8.6717 8.6717 4.5642
angles: 90.00 90.00 90.00
Closest atoms and distances in Å follow each position.
Element x y z (fractional)
Ni  0.0000  0.0000  0.0000  8 Ni 2.37-2.48, 4 W 2.64
Ni  0.0359  0.3700  0.5000  5 Ni 2.34-2.47, 1 W 2.35
Ni  0.0673  0.2653  0.0000  10 Ni 2.37-2.54
Ni  0.1300  0.5359  0.0000  5 Ni 2.34-2.47, 1 W 2.35
Ni  0.1797  0.8203  0.2515  5 Ni 2.27-2.52
Ni  0.1797  0.8203  0.7485  5 Ni 2.27-2.52
Ni  0.2347  0.5673  0.5000  10 Ni 2.37-2.54
Ni  0.2653  0.0673  0.0000  10 Ni 2.37-2.54
Ni  0.3203  0.3203  0.2485  5 Ni 2.27-2.52
Ni  0.3203  0.3203  0.7515  5 Ni 2.27-2.52
Ni  0.3700  0.0359  0.5000  5 Ni 2.34-2.47, 1 W 2.35
Ni  0.4327  0.7653  0.5000  10 Ni 2.37-2.54
Ni  0.4641  0.8700  0.0000  5 Ni 2.34-2.47, 1 W 2.35
Ni  0.5000  0.5000  0.5000  8 Ni 2.37-2.48, 4 W 2.64
Ni  0.5359  0.1300  0.0000  5 Ni 2.34-2.47, 1 W 2.35
Ni  0.5673  0.2347  0.5000  10 Ni 2.37-2.54
Ni  0.6300  0.9641  0.5000  5 Ni 2.34-2.47, 1 W 2.35
Ni  0.6797  0.6797  0.2485  5 Ni 2.27-2.52
Ni  0.6797  0.6797  0.7515  5 Ni 2.27-2.52
Ni  0.7347  0.9327  0.0000  10 Ni 2.37-2.54
Ni  0.7653  0.4327  0.5000  10 Ni 2.37-2.54
Ni  0.8203  0.1797  0.2515  5 Ni 2.27-2.52
Ni  0.8203  0.1797  0.7485  5 Ni 2.27-2.52
Ni  0.8700  0.4641  0.0000  5 Ni 2.34-2.47, 1 W 2.35
Ni  0.9327  0.7347  0.0000  10 Ni 2.37-2.54
Ni  0.9641  0.6300  0.5000  5 Ni 2.34-2.47, 1 W 2.35
W  0.1088  0.1088  0.5000  2 Ni 2.35
W  0.3912  0.6088  0.0000  2 Ni 2.35
W  0.6088  0.3912  0.0000  2 Ni 2.35
W  0.8912  0.8912  0.5000  2 Ni 2.35

Entry 7:
Compound: Ni2W
Source: OQMD
Functional: GGA-PBE
Structure: optimized geometry

Space group: Cmcm

abc: 4.9270 4.9270 8.0188
angles: 90.00 90.00 124.27
Closest atoms and distances in Å follow each position.
Element x y z (fractional)
Ni  0.1648  0.3209  0.7500  2 Ni 2.24-2.37, 3 W 2.36-2.43
Ni  0.1836  0.8164  0.5541  6 W 2.70-2.84, 8 Ni 2.72-2.99
Ni  0.1836  0.8164  0.9459  6 W 2.70-2.84, 8 Ni 2.72-2.99
Ni  0.3209  0.1648  0.2500  2 Ni 2.24-2.37, 3 W 2.36-2.43
Ni  0.6791  0.8352  0.7500  2 Ni 2.24-2.37, 3 W 2.36-2.43
Ni  0.8164  0.1836  0.0541  6 W 2.70-2.84, 8 Ni 2.72-2.99
Ni  0.8164  0.1836  0.4459  6 W 2.70-2.84, 8 Ni 2.72-2.99
Ni  0.8352  0.6791  0.2500  2 Ni 2.24-2.37, 3 W 2.36-2.43
W  0.3168  0.6832  0.2500  4 Ni 2.36-2.57, 2 W 2.56
W  0.5000  0.5000  0.0000  4 Ni 2.43, 2 W 2.56
W  0.5000  0.5000  0.5000  4 Ni 2.43, 2 W 2.56
W  0.6832  0.3168  0.7500  4 Ni 2.36-2.57, 2 W 2.56

no.,energy of formation from the pure elements (eV/atom),final energy (eV for the cell shown)
1,0.005,-96.3
2,0.365,-148.9
3,0.470,-332.7
4,0.509,-147.1
5,0.038,-239.8
6,0.020,-196.0
7,0.300,-92.8